[1]
SrCrTe2 | PBEsol | optimized geometry

Values from the calculation:
The calculation puts the total energy at -65.4 eV for the cell shown. The volume comes out at 342 Å³ per cell. The symmetry is R-3m.

abc: 4.3252 4.3252 21.1106
angles: 90.00 90.00 120.00
Closest atoms and distances in Å follow each position.
Atoms (fractional coordinates):
Sr  0.0000  0.0000  0.0000  6 Te 3.26
Sr  0.3333  0.6667  0.6667  6 Te 3.26
Sr  0.6667  0.3333  0.3333  6 Te 3.26
Cr  0.0000  0.0000  0.5000  6 Te 2.87
Cr  0.3333  0.6667  0.1667  6 Te 2.87
Cr  0.6667  0.3333  0.8333  6 Te 2.87
Te  0.0000  0.0000  0.2338  3 Cr 2.87
Te  0.0000  0.0000  0.7662  3 Cr 2.87
Te  0.3333  0.6667  0.4329  3 Cr 2.87
Te  0.3333  0.6667  0.9005  3 Cr 2.87
Te  0.6667  0.3333  0.0995  3 Cr 2.87
Te  0.6667  0.3333  0.5671  3 Cr 2.87

***

[2]
Sr2CrTe | PBEsol | optimized geometry

Values from the calculation:
The calculation puts the total energy at -17.6 eV for the cell shown. The volume comes out at 136 Å³ per cell. The symmetry is P4mm.

abc: 3.9139 3.9139 8.8539
angles: 90.00 90.00 90.00
Closest atoms and distances in Å follow each position.
Atoms (fractional coordinates):
Sr  0.0000  0.0000  0.0000  1 Te 3.30, 4 Cr 3.52
Sr  0.5000  0.5000  0.3816  1 Cr 3.30, 4 Te 3.52
Cr  0.5000  0.5000  0.7538  4 Te 2.99, 1 Sr 3.30
Te  0.0000  0.0000  0.6268  4 Cr 2.99, 1 Sr 3.30

***

[3]
Sr2CrTe | PBEsol | optimized geometry

Values from the calculation:
The calculation puts the total energy at -54.0 eV for the cell shown. The volume comes out at 442 Å³ per cell. The symmetry is R-3m.

abc: 4.5484 4.5484 24.6779
angles: 90.00 90.00 120.00
Closest atoms and distances in Å follow each position.
Atoms (fractional coordinates):
Sr  0.0000  0.0000  0.2458  3 Te 3.27, 3 Cr 3.40
Sr  0.0000  0.0000  0.7542  3 Te 3.27, 3 Cr 3.40
Sr  0.3333  0.6667  0.4208  3 Te 3.27, 3 Cr 3.40
Sr  0.3333  0.6667  0.9125  3 Te 3.27, 3 Cr 3.40
Sr  0.6667  0.3333  0.0875  3 Te 3.27, 3 Cr 3.40
Sr  0.6667  0.3333  0.5792  3 Te 3.27, 3 Cr 3.40
Cr  0.0000  0.0000  0.0000  6 Sr 3.40
Cr  0.3333  0.6667  0.6667  6 Sr 3.40
Cr  0.6667  0.3333  0.3333  6 Sr 3.40
Te  0.0000  0.0000  0.5000  6 Sr 3.27
Te  0.3333  0.6667  0.1667  6 Sr 3.27
Te  0.6667  0.3333  0.8333  6 Sr 3.27

***

[4]
SrZrTiCr2 | PBEsol | optimized geometry

Values from the calculation:
The volume comes out at 120 Å³ per cell. The symmetry is P4/mmm. The calculation puts the energy relative to the elements at 1.782 eV per atom.

abc: 4.7053 4.7053 5.4367
angles: 90.00 90.00 90.00
Closest atoms and distances in Å follow each position.
Atoms (fractional coordinates):
Sr  0.0000  0.0000  0.0000  2 Zr 2.72
Zr  0.0000  0.0000  0.5000  4 Cr 2.35
Ti  0.5000  0.5000  0.0000  4 Sr 3.33, 8 Cr 3.60
Cr  0.0000  0.5000  0.5000  2 Zr 2.35
Cr  0.5000  0.0000  0.5000  2 Zr 2.35

***

[5]
SrTlCr2 | PBEsol | optimized geometry

Values from the calculation:
As for the energy above the most stable polymorph in this dataset: 0.0 meV/atom. The volume comes out at 82 Å³ per cell. The symmetry is P4mm. The calculation puts the energy relative to the elements at 0.425 eV per atom.

abc: 3.2468 3.2468 7.8001
angles: 90.00 90.00 90.00
Closest atoms and distances in Å follow each position.
Atoms (fractional coordinates):
Sr  0.0000  0.0000  0.0000  4 Sr 3.25, 5 Cr 3.35-3.37, 4 Tl 3.40
Tl  0.5000  0.5000  0.3213  5 Cr 2.83-3.01
Cr  0.0000  0.0000  0.5703  4 Cr 2.46
Cr  0.5000  0.5000  0.6843  4 Cr 2.46

***

[6]
SrTlCr2 | PBEsol | optimized geometry

Values from the calculation:
As for the energy above the most stable polymorph in this dataset: 369.1 meV/atom. The volume comes out at 92 Å³ per cell. The symmetry is P4/mmm. The calculation puts the energy relative to the elements at 0.794 eV per atom.

abc: 3.7087 3.7087 6.7188
angles: 90.00 90.00 90.00
Closest atoms and distances in Å follow each position.
Atoms (fractional coordinates):
Sr  0.0000  0.0000  0.0000  2 Tl 3.36, 8 Cr 3.57, 4 Sr 3.71
Tl  0.0000  0.0000  0.5000  8 Cr 2.78
Cr  0.5000  0.5000  0.3616  1 Cr 1.86
Cr  0.5000  0.5000  0.6384  1 Cr 1.86